Record 1
VASP calculation (PBE-GGA) on an optimized crystal structure of YMg6SiO8.

The formation energy without anion corrections comes out at -2.30 eV per atom. As for the spin magnetization: 0.6 Bohr magnetons per cell.

abc: 4.3589 4.3589 9.6213
angles: 90.00 90.00 90.00
With the nearest neighbours (Å) after each atom.
Space group P4/mmm (No. 123)
Symmetry-distinct sites (fractional):
1 Y 0.0000 0.0000 0.0000 x1  4 O 2.18
2 Mg 0.0000 0.0000 0.5000 x1  6 O 2.18-2.33
3 Mg 0.0000 0.5000 0.2775 x4  5 O 2.14-2.19
4 Mg 0.5000 0.5000 0.5000 x1  6 O 2.00-2.18
5 Si 0.5000 0.5000 0.0000 x1  4 O 2.18
6 O 0.0000 0.0000 0.2578 x2  5 Mg 2.19-2.33
7 O 0.0000 0.5000 0.0000 x2  2 Si 2.18, 2 Y 2.18
8 O 0.0000 0.5000 0.5000 x2  6 Mg 2.14-2.18
9 O 0.5000 0.5000 0.2922 x2  5 Mg 2.00-2.18


Record 2
VASP calculation (PBE-GGA) on an optimized crystal structure of MgZnSi2O6.

The formation energy without anion corrections comes out at -2.53 eV per atom. As for the spin magnetization: 0.0 Bohr magnetons per cell.

abc: 9.8699 9.2328 5.3635
angles: 90.00 111.32 90.00
With the nearest neighbours (Å) after each atom.
Space group C2/c (No. 15)
Symmetry-distinct sites (fractional):
1 Mg 0.0000 0.1034 0.2500 x4  6 O 2.05-2.28
2 Zn 0.0000 0.2367 0.7500 x4  4 O 1.95-2.06
3 Si 0.1979 0.4149 0.2267 x8  4 O 1.63-1.65
4 O 0.1195 0.2588 0.1289 x8  1 Si 1.63
5 O 0.1229 0.0835 0.6492 x8  1 Si 1.65
6 O 0.1441 0.4778 0.4629 x8  2 Si 1.65


Record 3
VASP calculation (PBE-GGA) on an optimized crystal structure of Mg6ZnSiO8.

The formation energy without anion corrections comes out at -2.21 eV per atom. As for the spin magnetization: 0.0 Bohr magnetons per cell. Its energy relative to the lowest polymorph listed for this composition is 0.000 eV per atom.

abc: 4.3302 4.3302 8.6388
angles: 90.00 90.00 90.00
With the nearest neighbours (Å) after each atom.
Space group P4/mmm (No. 123)
Symmetry-distinct sites (fractional):
1 Mg 0.0000 0.0000 0.0000 x1  6 O 2.16-2.17
2 Mg 0.0000 0.0000 0.5000 x1  6 O 2.16-2.17
3 Mg 0.0000 0.5000 0.2465 x4  6 O 2.13-2.19
4 Zn 0.5000 0.5000 0.0000 x1  6 O 2.10-2.17
5 Si 0.5000 0.5000 0.5000 x1  6 O 2.17-2.22
6 O 0.0000 0.0000 0.2505 x2  6 Mg 2.16-2.17
7 O 0.0000 0.5000 0.0000 x2  4 Mg 2.13-2.17, 2 Zn 2.17
8 O 0.0000 0.5000 0.5000 x2  4 Mg 2.17-2.19, 2 Si 2.17
9 O 0.5000 0.5000 0.2429 x2  1 Zn 2.10, 4 Mg 2.17, 1 Si 2.22


Record 4
VASP calculation (PBE-GGA) on an optimized crystal structure of Mg6ZnSiO8.

The formation energy without anion corrections comes out at -2.21 eV per atom. As for the spin magnetization: 0.0 Bohr magnetons per cell. Its energy relative to the lowest polymorph listed for this composition is 0.006 eV per atom.

abc: 4.3234 4.3234 8.6586
angles: 90.00 90.00 90.00
With the nearest neighbours (Å) after each atom.
Space group P4/mmm (No. 123)
Symmetry-distinct sites (fractional):
1 Mg 0.0000 0.0000 0.0000 x1  6 O 2.14-2.16
2 Mg 0.0000 0.5000 0.2472 x4  6 O 2.14-2.19
3 Mg 0.5000 0.5000 0.0000 x1  6 O 2.07-2.16
4 Zn 0.0000 0.0000 0.5000 x1  6 O 2.16-2.19
5 Si 0.5000 0.5000 0.5000 x1  6 O 2.16-2.26
6 O 0.0000 0.0000 0.2473 x2  5 Mg 2.14-2.16, 1 Zn 2.19
7 O 0.0000 0.5000 0.0000 x2  6 Mg 2.14-2.16
8 O 0.0000 0.5000 0.5000 x2  2 Si 2.16, 2 Zn 2.16, 2 Mg 2.19
9 O 0.5000 0.5000 0.2388 x2  5 Mg 2.07-2.16, 1 Si 2.26


Record 5
VASP calculation (PBE-GGA) on an optimized crystal structure of MgZrSi2O7.

The formation energy without anion corrections comes out at -2.84 eV per atom. As for the spin magnetization: 0.0 Bohr magnetons per cell.

abc: 6.5442 6.7539 9.3409
angles: 90.00 90.00 90.00
With the nearest neighbours (Å) after each atom.
Space group Imma (No. 74)
Symmetry-distinct sites (fractional):
1 Mg 0.2500 0.2500 0.2500 x4  2 O 2.00
2 Zr 0.0000 0.0000 0.0000 x4  6 O 2.06-2.28
3 Si 0.0000 0.0000 0.5000 x4  6 O 1.80-1.83
4 Si 0.2500 0.2500 0.7500 x4  6 O 1.78-1.79
5 O 0.0000 0.2500 0.1266 x4  2 Mg 2.00, 2 Zr 2.06
6 O 0.0000 0.2500 0.4244 x4  2 Si 1.83
7 O 0.0000 0.2500 0.8242 x4  2 Si 1.78
8 O 0.2037 0.0573 0.6223 x16  2 Si 1.79-1.80


Record 6
VASP calculation (PBE-GGA) on an optimized crystal structure of Sm3MgO.

The formation energy without anion corrections comes out at -1.19 eV per atom. As for the spin magnetization: 0.0 Bohr magnetons per cell.

abc: 4.9510 4.9510 4.9510
angles: 90.00 90.00 90.00
With the nearest neighbours (Å) after each atom.
Space group Pm-3m (No. 221)
Symmetry-distinct sites (fractional):
1 Sm 0.0000 0.0000 0.5000 x3  2 O 2.48
2 Mg 0.5000 0.5000 0.5000 x1  12 Sm 3.50
3 O 0.0000 0.0000 0.0000 x1  6 Sm 2.48


Record 7
VASP calculation (PBE-GGA) on an optimized crystal structure of Sm2MgO.

The formation energy without anion corrections comes out at -0.94 eV per atom. As for the spin magnetization: 0.0 Bohr magnetons per cell. Its energy relative to the lowest polymorph listed for this composition is 0.144 eV per atom.

abc: 3.1177 3.1177 8.6269
angles: 90.00 90.00 90.00
With the nearest neighbours (Å) after each atom.
Space group P4/mmm (No. 123)
Symmetry-distinct sites (fractional):
1 Sm 0.0000 0.0000 0.1820 x2  4 O 2.71
2 Mg 0.5000 0.5000 0.5000 x1  4 Mg 3.12
3 O 0.5000 0.5000 0.0000 x1  8 Sm 2.71


Record 8
VASP calculation (PBE-GGA) on an optimized crystal structure of Sm2MgO.

The formation energy without anion corrections comes out at -1.09 eV per atom. As for the spin magnetization: 0.0 Bohr magnetons per cell. Its energy relative to the lowest polymorph listed for this composition is 0.000 eV per atom.

abc: 3.5523 3.5523 27.7756
angles: 90.00 90.00 120.00
With the nearest neighbours (Å) after each atom.
Space group R-3m (No. 166, hexagonal axes)
Symmetry-distinct sites (fractional):
1 Sm 0.0000 0.0000 0.1179 x6  3 O 2.46
2 Mg 0.0000 0.0000 0.0000 x3  2 Sm 3.27, 6 Mg 3.55
3 O 0.0000 0.0000 0.5000 x3  6 Sm 2.46


Record 9
VASP calculation (PBE-GGA) on an optimized crystal structure of SmMgO2.

The formation energy without anion corrections comes out at -2.56 eV per atom. As for the spin magnetization: 0.0 Bohr magnetons per cell.

abc: 3.2094 3.2094 16.8950
angles: 90.00 90.00 120.00
With the nearest neighbours (Å) after each atom.
Space group R-3m (No. 166, hexagonal axes)
Symmetry-distinct sites (fractional):
1 Sm 0.0000 0.0000 0.0000 x3  6 O 2.48
2 Mg 0.0000 0.0000 0.5000 x3  6 O 2.19
3 O 0.0000 0.0000 0.2357 x6  3 Mg 2.19


Record 10
VASP calculation (PBE-GGA) on an optimized crystal structure of TbSm2MgO.

The formation energy without anion corrections comes out at -1.19 eV per atom. As for the spin magnetization: 0.0 Bohr magnetons per cell.

abc: 4.9749 4.9749 4.8060
angles: 90.00 90.00 90.00
With the nearest neighbours (Å) after each atom.
Space group P4/mmm (No. 123)
Symmetry-distinct sites (fractional):
1 Tb 0.0000 0.0000 0.0000 x1  2 O 2.40
2 Sm 0.0000 0.5000 0.5000 x2  2 O 2.49
3 Mg 0.5000 0.5000 0.0000 x1  8 Sm 3.46, 4 Tb 3.52
4 O 0.0000 0.0000 0.5000 x1  2 Tb 2.40, 4 Sm 2.49


Record 11
VASP calculation (PBE-GGA) on an optimized crystal structure of SmMgTeO6.

The formation energy without anion corrections comes out at -1.99 eV per atom. As for the spin magnetization: 2.1 Bohr magnetons per cell.

abc: 5.3264 5.3264 9.8986
angles: 90.00 90.00 120.00
With the nearest neighbours (Å) after each atom.
Space group P-31c (No. 163)
Symmetry-distinct sites (fractional):
1 Sm 0.0000 0.0000 0.0000 x2  6 O 2.37
2 Mg 0.3333 0.6667 0.2500 x2  6 O 2.11
3 Te 0.3333 0.6667 0.7500 x2  6 O 1.95
4 O 0.0229 0.3705 0.6407 x12  1 Te 1.95, 1 Mg 2.11


Record 12
VASP calculation (PBE-GGA) on an optimized crystal structure of Sm2MgTiO6.

The formation energy without anion corrections comes out at -3.24 eV per atom. As for the spin magnetization: 0.0 Bohr magnetons per cell.

abc: 5.4322 5.6723 9.4836
angles: 90.00 124.84 90.00
With the nearest neighbours (Å) after each atom.
Space group P2_1/c (No. 14)
Symmetry-distinct sites (fractional):
1 Sm 0.2338 0.0604 0.2489 x4  6 O 2.31-2.58
2 Mg 0.0000 0.0000 0.5000 x2  6 O 2.08-2.11
3 Ti 0.5000 0.0000 0.0000 x2  6 O 1.97-2.00
4 O 0.1564 0.1930 0.9492 x4  1 Ti 1.97, 1 Mg 2.11
5 O 0.2533 0.7085 0.9448 x4  1 Ti 2.00, 1 Mg 2.10
6 O 0.3580 0.0341 0.7569 x4  1 Ti 1.98, 1 Mg 2.08


Please write out number 4 again, unchanged.
VASP calculation (PBE-GGA) on an optimized crystal structure of Mg6ZnSiO8.

The formation energy without anion corrections comes out at -2.21 eV per atom. As for the spin magnetization: 0.0 Bohr magnetons per cell. Its energy relative to the lowest polymorph listed for this composition is 0.006 eV per atom.

abc: 4.3234 4.3234 8.6586
angles: 90.00 90.00 90.00
With the nearest neighbours (Å) after each atom.
Space group P4/mmm (No. 123)
Symmetry-distinct sites (fractional):
1 Mg 0.0000 0.0000 0.0000 x1  6 O 2.14-2.16
2 Mg 0.0000 0.5000 0.2472 x4  6 O 2.14-2.19
3 Mg 0.5000 0.5000 0.0000 x1  6 O 2.07-2.16
4 Zn 0.0000 0.0000 0.5000 x1  6 O 2.16-2.19
5 Si 0.5000 0.5000 0.5000 x1  6 O 2.16-2.26
6 O 0.0000 0.0000 0.2473 x2  5 Mg 2.14-2.16, 1 Zn 2.19
7 O 0.0000 0.5000 0.0000 x2  6 Mg 2.14-2.16
8 O 0.0000 0.5000 0.5000 x2  2 Si 2.16, 2 Zn 2.16, 2 Mg 2.19
9 O 0.5000 0.5000 0.2388 x2  5 Mg 2.07-2.16, 1 Si 2.26


Question: What is the formation energy without anion corrections in the twelfth record?
Answer: -3.24 eV per atom


Question: Which formula does entry 6 have?
Answer: Sm3MgO